Here is an optimized crystal structure of RbCoPdF6 from Alexandria via LeMat-Bulk. Energies are from GGA+U.

Output
M_tot (μB/cell): 0.0
VASP energy (eV/atom): -4.3100

Lattice parameters (Å, degrees): 5.4293 5.4453 6.1308 90.27 90.56 118.10
Space group P1 (No. 1)
Inequivalent atoms, fractional coordinates:
Rb 0.0000 0.0000 0.0000
Co 0.3315 0.6678 0.5013
Pd 0.6656 0.3372 0.5003
F 0.0307 0.6467 0.3144
F 0.3598 0.9773 0.6895
F 0.3700 0.3691 0.3202
F 0.6318 0.6338 0.6756
F 0.6420 0.0138 0.3281
F 0.9921 0.3642 0.6756